# YAlAs2

An optimized crystal structure of YAlAs2 (PBE, the Alexandria database).

a = 3.9573 Å, b = 4.0231 Å, c = 10.4250 Å
α = 90.00°, β = 90.00°, γ = 90.00°
Space group Imm2 (No. 44)
Unique sites:
Y  0.0000  0.0000  0.0000
Al  0.0000  0.5000  0.7523
As  0.0000  0.0000  0.4916
As  0.0000  0.5000  0.2443

Values from the calculation:
Its energy of formation is -0.58 eV/atom. Its density is 5.3 Mg/m³. Its crystal system is orthorhombic. Its total magnetic moment is 0.0 μB/f.u.

# YAl2As2

An optimized crystal structure of YAl2As2 (PBE, the Alexandria database).

a = 3.8495 Å, b = 3.8495 Å, c = 13.9480 Å
α = 90.00°, β = 90.00°, γ = 90.00°
Space group I4/mmm (No. 139)
Unique sites:
Y  0.0000  0.0000  0.0000
Al  0.0000  0.5000  0.2500
As  0.0000  0.0000  0.4017

Values from the calculation:
Its energy of formation is -0.40 eV/atom. Its density is 4.7 Mg/m³. Its crystal system is tetragonal. Its total magnetic moment is 0.0 μB/f.u.

# YAlAs

An optimized crystal structure of YAlAs (PBE, the Alexandria database).

a = 4.5466 Å, b = 5.4883 Å, c = 10.3364 Å
α = 90.00°, β = 90.00°, γ = 90.00°
Space group Fmm2 (No. 42)
Unique sites:
Y  0.0000  0.0000  0.0000
Al  0.0000  0.0000  0.3037
As  0.0000  0.0000  0.6817

Values from the calculation:
Its energy of formation is -0.52 eV/atom. Its density is 4.9 Mg/m³. Its crystal system is orthorhombic. Its total magnetic moment is 0.0 μB/f.u.

# YAlAs2

An optimized crystal structure of YAlAs2 (PBE, the Alexandria database).

a = 4.0955 Å, b = 4.0099 Å, c = 5.8974 Å
α = 90.00°, β = 93.76°, γ = 90.00°
Space group Pm (No. 6)
Unique sites:
Y  0.0000  0.0000  0.0000
Al  0.3370  0.5000  0.5883
As  0.5002  0.5000  0.0058
As  0.9833  0.0000  0.4952

Values from the calculation:
Its energy of formation is -0.73 eV/atom. Its density is 4.6 Mg/m³. Its crystal system is monoclinic. Its total magnetic moment is 0.0 μB/f.u.